A geometry-optimized LiYTl4 structure, computed with GGA-PBEsol.

The space group is F-43m (No. 216) and the conventional cell measures 8.691, 8.691 and 8.691 Å, with angles of 90.00, 90.00 and 90.00 degrees. The distinct sites, in fractional coordinates, are Li at (0.000, 0.000, 0.000), Y at (0.250, 0.250, 0.750) and Tl at (0.125, 0.125, 0.375).

Its crystal system is cubic. The calculation puts the density of states at the Fermi level at 12.393 states/eV per cell. As for the formation enthalpy at 0 K: 0.00 eV/atom.

A geometry-optimized CaFeSb structure, computed with GGA-PBEsol.

The space group is I4mm (No. 107) and the conventional cell measures 3.361, 3.361 and 10.762 Å, with angles of 90.00, 90.00 and 90.00 degrees. The distinct sites, in fractional coordinates, are Ca at (0.000, 0.000, 0.000), Fe at (0.000, 0.000, 0.306) and Sb at (0.000, 0.000, 0.711).

Its crystal system is tetragonal. The calculation puts the density of states at the Fermi level at 3.920 states/eV per cell. The raw formation energy comes out at -68 meV per atom.